CrAgTe2: optimized geometry, PBE.

Cell and atoms, written as POSCAR:
```
CrAgTe2
1.0
-3.1490 3.1490 6.1827
3.1490 -3.1490 6.1827
3.1490 3.1490 -6.1827
Cr Ag Te
2 2 4
direct
0.0000 0.0000 0.0000
0.7500 0.2500 0.5000
0.2500 0.7500 0.5000
0.5000 0.5000 0.0000
0.0993 0.6250 0.9743
0.3750 0.3493 0.4743
0.6507 0.1250 0.0257
0.8750 0.9007 0.5257
```

Summary:
- total magnetic moment (μB per cell) = 6.00
- ΔE_f (raw) (eV/atom) = 0.006